1.
VASP calculation (PBE) on an optimized crystal structure of SbMo2As.

a b c (Å): 6.462 6.462 6.462
angles (deg): 90.00 90.00 90.00
Space group Fm-3m (No. 225)
One atom of each set of equivalent atoms:
Sb 0.000 0.000 0.000 x4
Mo 0.250 0.250 0.250 x8
As 0.000 0.000 0.500 x4

Calculated values
The calculation puts the relative energy among the computed polymorphs at 0.1418 eV/atom.

2.
VASP calculation (PBE) on an optimized crystal structure of SbMoAs2.

a b c (Å): 3.467 5.020 9.523
angles (deg): 90.00 90.00 90.00
Space group Cmmm (No. 65)
One atom of each set of equivalent atoms:
Sb 0.000 0.000 0.000 x2
Mo 0.000 0.000 0.500 x2
As 0.000 0.500 0.302 x4

3.
VASP calculation (PBE) on an optimized crystal structure of SbMoAs2.

a b c (Å): 3.254 3.254 7.182
angles (deg): 90.00 90.00 90.00
Space group P4/mmm (No. 123)
One atom of each set of equivalent atoms:
Sb 0.000 0.000 0.000 x1
Mo 0.000 0.000 0.500 x1
As 0.500 0.500 0.303 x2

4.
VASP calculation (PBE) on an optimized crystal structure of SbMoAs2.

a b c (Å): 5.981 7.541 3.386
angles (deg): 90.00 90.00 90.00
Space group Cmmm (No. 65)
One atom of each set of equivalent atoms:
Sb 0.000 0.000 0.000 x2
Mo 0.000 0.500 0.000 x2
As 0.250 0.250 0.500 x4

Magnetic moment per entry: 0.00; 0.00; 0.00; 1.31 μB per formula unit
Raw total energy per entry: -7.437; -5.789; -6.042; -5.554 eV per atom
Raw formation energy per entry: 0.69; 1.10; 0.08; 2.03 eV/f.u.